1.
A geometry-optimized TbCdSeO5 structure. Source: the Alexandria database, functional PBE-GGA.

Calculated volume, Å³/atom: 16.73
Uncorrected formation energy, meV/atom: -1542

CIF file:
```
data_TbCdSeO5
_chemical_formula_sum 'Tb4 Cd4 Se4 O20'
_cell_length_a 8.281
_cell_length_b 8.871
_cell_length_c 8.375
_cell_angle_alpha 90.00
_cell_angle_beta 119.56
_cell_angle_gamma 90.00
_symmetry_space_group_name_H-M 'C 1 2/c 1'
_symmetry_Int_Tables_number 15
loop_
_symmetry_equiv_pos_as_xyz
'x,y,z'
'-x,-y,-z'
'-x,y,-z+1/2'
'x,-y,z+1/2'
'x+1/2,y+1/2,z'
'-x+1/2,-y+1/2,-z'
'-x+1/2,y+1/2,-z+1/2'
'x+1/2,-y+1/2,z+1/2'
loop_
_atom_site_label
_atom_site_fract_x
_atom_site_fract_y
_atom_site_fract_z
Tb1 0.000 0.000 0.000
Cd1 0.000 0.312 0.250
Se1 0.000 0.337 0.750
O1 0.000 0.076 0.250
O2 0.030 0.260 0.560
O3 0.175 0.472 0.854
```

=====

2.
A geometry-optimized TiCd2SeO6 structure. Source: the Alexandria database, functional PBE-GGA.

Calculated volume, Å³/atom: 14.19
Uncorrected formation energy, meV/atom: -1335

CIF file:
```
data_TiCd2SeO6
_chemical_formula_sum 'Ti1 Cd2 Se1 O6'
_cell_length_a 5.574
_cell_length_b 5.574
_cell_length_c 4.567
_cell_angle_alpha 90.00
_cell_angle_beta 90.00
_cell_angle_gamma 90.00
_symmetry_space_group_name_H-M 'P 4 m m'
_symmetry_Int_Tables_number 99
loop_
_symmetry_equiv_pos_as_xyz
'x,y,z'
'-y,x,z'
'-x,-y,z'
'y,-x,z'
'-x,y,z'
'y,x,z'
'x,-y,z'
'-y,-x,z'
loop_
_atom_site_label
_atom_site_fract_x
_atom_site_fract_y
_atom_site_fract_z
Ti1 0.000 0.000 0.000
Cd1 0.000 0.500 0.388
Se1 0.500 0.500 0.036
O1 0.000 0.000 0.618
O2 0.243 0.243 0.121
O3 0.500 0.500 0.664
```

=====

3.
A geometry-optimized Tl2CdSeO4 structure. Source: the Alexandria database, functional PBE-GGA.

Calculated volume, Å³/atom: 23.80
Uncorrected formation energy, meV/atom: -508

CIF file:
```
data_Tl2CdSeO4
_chemical_formula_sum 'Tl16 Cd8 Se8 O32'
_cell_length_a 6.297
_cell_length_b 12.706
_cell_length_c 19.035
_cell_angle_alpha 90.00
_cell_angle_beta 90.00
_cell_angle_gamma 90.00
_symmetry_space_group_name_H-M 'F d d d'
_symmetry_Int_Tables_number 70
loop_
_symmetry_equiv_pos_as_xyz
'x,y,z'
'-x,-y,-z'
'-x+1/4,-y+1/4,z'
'x+1/4,y+1/4,-z'
'x,-y+1/4,-z+1/4'
'-x,y+1/4,z+1/4'
'-x+1/4,y,-z+1/4'
'x+1/4,-y,z+1/4'
'x,y+1/2,z+1/2'
'-x,-y+1/2,-z+1/2'
'-x+1/4,-y+3/4,z+1/2'
'x+1/4,y+3/4,-z+1/2'
'x,-y+3/4,-z+3/4'
'-x,y+3/4,z+3/4'
'-x+1/4,y+1/2,-z+3/4'
'x+1/4,-y+1/2,z+3/4'
'x+1/2,y,z+1/2'
'-x+1/2,-y,-z+1/2'
'-x+3/4,-y+1/4,z+1/2'
'x+3/4,y+1/4,-z+1/2'
'x+1/2,-y+1/4,-z+3/4'
'-x+1/2,y+1/4,z+3/4'
'-x+3/4,y,-z+3/4'
'x+3/4,-y,z+3/4'
'x+1/2,y+1/2,z'
'-x+1/2,-y+1/2,-z'
'-x+3/4,-y+3/4,z'
'x+3/4,y+3/4,-z'
'x+1/2,-y+3/4,-z+1/4'
'-x+1/2,y+3/4,z+1/4'
'-x+3/4,y+1/2,-z+1/4'
'x+3/4,-y+1/2,z+1/4'
loop_
_atom_site_label
_atom_site_fract_x
_atom_site_fract_y
_atom_site_fract_z
Tl1 0.125 0.125 0.308
Cd1 0.125 0.125 0.125
Se1 0.125 0.125 0.625
O1 0.094 0.269 0.860
```

=====

What is the calculated volume in the first record? 16.73 Å³/atom

=====

Please write out number 3 again, unchanged.
A geometry-optimized Tl2CdSeO4 structure. Source: the Alexandria database, functional PBE-GGA.

Calculated volume, Å³/atom: 23.80
Uncorrected formation energy, meV/atom: -508

CIF file:
```
data_Tl2CdSeO4
_chemical_formula_sum 'Tl16 Cd8 Se8 O32'
_cell_length_a 6.297
_cell_length_b 12.706
_cell_length_c 19.035
_cell_angle_alpha 90.00
_cell_angle_beta 90.00
_cell_angle_gamma 90.00
_symmetry_space_group_name_H-M 'F d d d'
_symmetry_Int_Tables_number 70
loop_
_symmetry_equiv_pos_as_xyz
'x,y,z'
'-x,-y,-z'
'-x+1/4,-y+1/4,z'
'x+1/4,y+1/4,-z'
'x,-y+1/4,-z+1/4'
'-x,y+1/4,z+1/4'
'-x+1/4,y,-z+1/4'
'x+1/4,-y,z+1/4'
'x,y+1/2,z+1/2'
'-x,-y+1/2,-z+1/2'
'-x+1/4,-y+3/4,z+1/2'
'x+1/4,y+3/4,-z+1/2'
'x,-y+3/4,-z+3/4'
'-x,y+3/4,z+3/4'
'-x+1/4,y+1/2,-z+3/4'
'x+1/4,-y+1/2,z+3/4'
'x+1/2,y,z+1/2'
'-x+1/2,-y,-z+1/2'
'-x+3/4,-y+1/4,z+1/2'
'x+3/4,y+1/4,-z+1/2'
'x+1/2,-y+1/4,-z+3/4'
'-x+1/2,y+1/4,z+3/4'
'-x+3/4,y,-z+3/4'
'x+3/4,-y,z+3/4'
'x+1/2,y+1/2,z'
'-x+1/2,-y+1/2,-z'
'-x+3/4,-y+3/4,z'
'x+3/4,y+3/4,-z'
'x+1/2,-y+3/4,-z+1/4'
'-x+1/2,y+3/4,z+1/4'
'-x+3/4,y+1/2,-z+1/4'
'x+3/4,-y+1/2,z+1/4'
loop_
_atom_site_label
_atom_site_fract_x
_atom_site_fract_y
_atom_site_fract_z
Tl1 0.125 0.125 0.308
Cd1 0.125 0.125 0.125
Se1 0.125 0.125 0.625
O1 0.094 0.269 0.860
```